# 1
Density functional theory data (PBE-GGA) for an optimized crystal structure of Ho4Al2O9.

Cell: 7.3725 10.4916 11.1971 Å, 90.00 108.37 90.00°
Space group P2_1/c (No. 14)
Inequivalent atoms, fractional coordinates:
Ho (0.0219, 0.0971, 0.3048) x4
Ho (0.1618, 0.6216, 0.5840) x4
Ho (0.3404, 0.1264, 0.9387) x4
Ho (0.4777, 0.6105, 0.2157) x4
Al (0.2163, 0.1781, 0.6276) x4
Al (0.3459, 0.6757, 0.8870) x4
O (0.0711, 0.2331, 0.4806) x4
O (0.0779, 0.5063, 0.3935) x4
O (0.2089, 0.7393, 0.2528) x4
O (0.2128, 0.0144, 0.6539) x4
O (0.2304, 0.2407, 0.2693) x4
O (0.3056, 0.5152, 0.8406) x4
O (0.3626, 0.7304, 0.0389) x4
O (0.4329, 0.2407, 0.6155) x4
O (0.4360, 0.5083, 0.6079) x4

Calculated values
For the formation energy (no corrections), the calculation gives -3.424 eV/atom.

# 2
Density functional theory data (PBE-GGA) for an optimized crystal structure of HoAlO2.

Cell: 3.0943 3.0943 19.0969 Å, 90.00 90.00 120.00°
Space group R-3m (No. 166, hexagonal axes)
Inequivalent atoms, fractional coordinates:
Ho (0.0000, 0.0000, 0.0000) x3
Al (0.0000, 0.0000, 0.5000) x3
O (0.0000, 0.0000, 0.1178) x6

Calculated values
For the formation energy (no corrections), the calculation gives -2.260 eV/atom.

# 3
Density functional theory data (PBE-GGA) for an optimized crystal structure of HoAlO.

Cell: 11.5622 3.0756 5.2200 Å, 90.00 90.00 90.00°
Space group Amm2 (No. 38)
Inequivalent atoms, fractional coordinates:
Ho (0.2254, 0.0000, 0.0000) x4
Al (0.0000, 0.0000, 0.3405) x2
Al (0.5000, 0.0000, 0.0252) x2
O (0.3981, 0.0000, 0.3389) x4

Calculated values
For the formation energy (no corrections), the calculation gives -1.225 eV/atom.

# 4
Density functional theory data (PBE-GGA) for an optimized crystal structure of Ho3AlO6.

Cell: 8.8316 11.0605 5.3683 Å, 90.00 90.00 90.00°
Space group Cmc2_1 (No. 36)
Inequivalent atoms, fractional coordinates:
Ho (0.0000, 0.1026, 0.0000) x4
Ho (0.1929, 0.3940, 0.0462) x8
Al (0.0000, 0.3057, 0.5814) x4
O (0.0000, 0.2859, 0.2523) x4
O (0.0000, 0.4560, 0.7076) x4
O (0.1540, 0.2376, 0.7468) x8
O (0.1604, 0.0157, 0.2746) x8

Calculated values
For the formation energy (no corrections), the calculation gives -3.467 eV/atom.

# 5
Density functional theory data (PBE-GGA) for an optimized crystal structure of Ho2AlO4.

Cell: 10.0206 3.0089 6.0631 Å, 90.00 118.36 90.00°
Space group C2/m (No. 12)
Inequivalent atoms, fractional coordinates:
Ho (0.1567, 0.0000, 0.1933) x4
Al (0.0000, 0.5000, 0.5000) x2
O (0.0483, 0.5000, 0.8415) x4
O (0.1464, 0.0000, 0.5642) x4

Calculated values
For the formation energy (no corrections), the calculation gives -2.953 eV/atom.

# 6
Density functional theory data (PBE-GGA) for an optimized crystal structure of Ho3AlO6.

Cell: 9.2662 9.2662 10.6139 Å, 90.00 90.00 120.00°
Space group R-3 (No. 148, hexagonal axes)
Inequivalent atoms, fractional coordinates:
Ho (0.0417, 0.2678, 0.2029) x18
Al (0.0000, 0.0000, 0.0000) x3
Al (0.0000, 0.0000, 0.5000) x3
O (0.0273, 0.1812, 0.8899) x18
O (0.0286, 0.1970, 0.4033) x18

Calculated values
For the formation energy (no corrections), the calculation gives -3.440 eV/atom.

# 7
Density functional theory data (PBE-GGA) for an optimized crystal structure of HoPaAl2O8.

Cell: 6.9503 6.9503 6.5406 Å, 90.00 90.00 90.00°
Space group I-4m2 (No. 119)
Inequivalent atoms, fractional coordinates:
Ho (0.0000, 0.0000, 0.0000) x2
Pa (0.0000, 0.5000, 0.7500) x2
Al (0.0000, 0.0000, 0.5000) x2
Al (0.0000, 0.5000, 0.2500) x2
O (0.0000, 0.1897, 0.6819) x8
O (0.0000, 0.3177, 0.0641) x8

Calculated values
For the formation energy (no corrections), the calculation gives -2.856 eV/atom.

# 8
Density functional theory data (PBE-GGA) for an optimized crystal structure of HoAl3Pb2O8.

Cell: 9.5273 9.5273 9.5273 Å, 90.00 90.00 90.00°
Space group Pn-3m (No. 224, origin choice 2)
Inequivalent atoms, fractional coordinates:
Ho (0.0000, 0.0000, 0.0000) x4
Al (0.0000, 0.2500, 0.7500) x12
Pb (0.1160, 0.1160, 0.3840) x8
O (0.0910, 0.0910, 0.7655) x24
O (0.1368, 0.1368, 0.1368) x8

Calculated values
For the formation energy (no corrections), the calculation gives -2.590 eV/atom.